# 1
A plane-wave DFT calculation with PBE-GGA was carried out for a relaxed structure of GaRhAu.

```
GaRhAu
1.0
-1.523 1.523 5.068
1.523 -1.523 5.068
1.523 1.523 -5.068
Ga Rh Au
1 1 1
Direct
0.000 0.000 0.000 Ga
0.630 0.630 0.000 Rh
0.326 0.326 0.000 Au
```

Results
Calculated formation energy in meV per atom: -298
E_tot in eV/f.u.: -14.55
Calculated volume in Å³/cell: 47.0
Polymorph energy (0 for the lowest one) in meV per atom: 0.0
Density in Mg/m³: 13.1


# 2
A plane-wave DFT calculation with PBE-GGA was carried out for a relaxed structure of Sr2Tl3Cl7.

```
Sr2Tl3Cl7
1.0
13.591 -3.815 0.000
13.591 3.815 0.000
0.000 0.000 8.063
Sr Tl Cl
4 6 14
Direct
0.148 0.650 0.500 Sr
0.350 0.852 0.500 Sr
0.650 0.148 0.000 Sr
0.852 0.350 0.000 Sr
0.062 0.553 0.076 Tl
0.269 0.731 0.932 Tl
0.447 0.938 0.076 Tl
0.553 0.062 0.576 Tl
0.731 0.269 0.432 Tl
0.938 0.447 0.576 Tl
0.064 0.183 0.302 Cl
0.130 0.870 0.542 Cl
0.161 0.436 0.457 Cl
0.183 0.064 0.802 Cl
0.364 0.482 0.196 Cl
0.436 0.161 0.957 Cl
0.482 0.364 0.696 Cl
0.518 0.636 0.196 Cl
0.564 0.839 0.457 Cl
0.636 0.518 0.696 Cl
0.817 0.936 0.302 Cl
0.839 0.564 0.957 Cl
0.870 0.130 0.042 Cl
0.936 0.817 0.802 Cl
```

Results
E_tot in eV/f.u.: -44.30
Calculated volume in Å³/cell: 836.1
Density in Mg/m³: 4.1
Raw formation energy in eV per atom: -1.742


# 3
A plane-wave DFT calculation with PBE-GGA was carried out for a relaxed structure of KLiIrO4.

```
KLiIrO4
1.0
-2.962 2.962 3.658
2.962 -2.962 3.658
2.962 2.962 -3.658
K Li Ir O
1 1 1 4
Direct
0.000 0.000 0.000 K
0.500 0.500 0.000 Li
0.250 0.750 0.500 Ir
0.211 0.583 0.114 O
0.417 0.531 0.628 O
0.469 0.097 0.886 O
0.903 0.789 0.372 O
```

Results
E_tot in eV/f.u.: -39.25
Calculated volume in Å³/cell: 128.3
Density in Mg/m³: 3.9
Raw formation energy in eV per atom: -1.077


# 4
A plane-wave DFT calculation with PBE-GGA was carried out for a relaxed structure of BaCaCu2.

```
BaCaCu2
1.0
-2.217 2.217 5.570
2.217 -2.217 5.570
2.217 2.217 -5.570
Ba Ca Cu
1 1 2
Direct
0.000 0.000 0.000 Ba
0.250 0.750 0.500 Ca
0.500 0.500 0.000 Cu
0.750 0.250 0.500 Cu
```

Results
Calculated formation energy in meV per atom: 225
E_tot in eV/f.u.: -11.21
Calculated volume in Å³/cell: 109.5
Polymorph energy (0 for the lowest one) in meV per atom: 281.3
Density in Mg/m³: 4.6


# 5
A plane-wave DFT calculation with PBE-GGA was carried out for a relaxed structure of Rb2AcDySe4.

```
Rb2AcDySe4
1.0
7.678 0.000 0.000
0.000 4.426 0.000
-2.542 0.000 8.036
Rb Ac Dy Se
2 1 1 4
Direct
0.000 0.000 0.000 Rb
0.500 0.500 0.000 Rb
0.000 0.500 0.500 Ac
0.500 0.000 0.500 Dy
0.253 0.000 0.704 Se
0.284 0.500 0.303 Se
0.716 0.500 0.697 Se
0.747 0.000 0.296 Se
```

Results
E_tot in eV/f.u.: -38.61
Calculated volume in Å³/cell: 273.1
Density in Mg/m³: 5.3
Raw formation energy in eV per atom: -1.753


# 6
A plane-wave DFT calculation with PBE-GGA was carried out for a relaxed structure of SmTmPd2.

```
SmTmPd2
1.0
0.000 3.529 3.529
3.529 0.000 3.529
3.529 3.529 0.000
Sm Tm Pd
1 1 2
Direct
0.000 0.000 0.000 Sm
0.500 0.500 0.500 Tm
0.250 0.250 0.250 Pd
0.750 0.750 0.750 Pd
```

Results
Calculated formation energy in meV per atom: -854
E_tot in eV/f.u.: -22.99
Calculated volume in Å³/cell: 87.9
Polymorph energy (0 for the lowest one) in meV per atom: 39.0
Density in Mg/m³: 10.1


# 7
A plane-wave DFT calculation with PBE-GGA was carried out for a relaxed structure of RbSrAuO2.

```
RbSrAuO2
1.0
3.704 -6.922 0.000
3.704 6.922 0.000
0.000 0.000 5.726
Rb Sr Au O
2 2 2 4
Direct
0.250 0.750 0.934 Rb
0.750 0.250 0.066 Rb
0.250 0.250 0.500 Sr
0.750 0.750 0.500 Sr
0.000 0.000 0.000 Au
0.500 0.500 0.000 Au
0.082 0.918 0.703 O
0.418 0.582 0.703 O
0.582 0.418 0.297 O
0.918 0.082 0.297 O
```

Results
E_tot in eV/f.u.: -23.11
Calculated volume in Å³/cell: 293.6
Density in Mg/m³: 4.5
Raw formation energy in eV per atom: -1.453


# 8
A plane-wave DFT calculation with PBE-GGA was carried out for a relaxed structure of MgVPd3.

```
MgVPd3
1.0
4.645 0.000 0.000
0.000 4.645 0.000
0.000 0.000 4.645
Mg V Pd
1 1 3
Direct
0.000 0.000 0.000 Mg
0.500 0.500 0.500 V
0.000 0.500 0.500 Pd
0.500 0.000 0.500 Pd
0.500 0.500 0.000 Pd
```

Results
Calculated formation energy in meV per atom: 394
E_tot in eV/f.u.: -24.32
Calculated volume in Å³/cell: 100.2
Polymorph energy (0 for the lowest one) in meV per atom: 0.0
Density in Mg/m³: 6.5


# 9
A plane-wave DFT calculation with PBE-GGA was carried out for a relaxed structure of RbZnIn2.

```
RbZnIn2
1.0
2.358 1.362 8.707
-2.358 1.362 8.707
0.000 -2.723 8.707
Rb Zn In
1 1 2
Direct
0.000 0.000 0.000 Rb
0.500 0.500 0.500 Zn
0.136 0.136 0.136 In
0.864 0.864 0.864 In
```

Results
Calculated formation energy in meV per atom: 138
E_tot in eV/f.u.: -7.16
Calculated volume in Å³/cell: 167.8
Density in Mg/m³: 3.8


# 10
A plane-wave DFT calculation with PBE-GGA was carried out for a relaxed structure of YMn2BeTe.

```
YMn2BeTe
1.0
4.838 0.000 0.000
0.000 4.838 0.000
0.000 0.000 4.634
Y Mn Be Te
1 2 1 1
Direct
0.000 0.000 0.000 Y
0.000 0.500 0.500 Mn
0.500 0.000 0.500 Mn
0.500 0.500 0.000 Be
0.500 0.500 0.500 Te
```

Results
E_tot in eV/f.u.: -27.78
Calculated volume in Å³/cell: 108.4
Density in Mg/m³: 5.1
Raw formation energy in eV per atom: 0.778


# 11
A plane-wave DFT calculation with PBE-GGA was carried out for a relaxed structure of Sc2AgOsO8.

```
Sc2AgOsO8
1.0
3.416 -3.292 0.000
3.416 3.292 0.000
-0.271 0.000 6.674
Sc Ag Os O
2 1 1 8
Direct
0.013 0.013 0.260 Sc
0.987 0.987 0.740 Sc
0.500 0.500 0.500 Ag
0.500 0.500 0.000 Os
0.190 0.810 0.500 O
0.213 0.787 0.000 O
0.291 0.291 0.816 O
0.326 0.326 0.217 O
0.674 0.674 0.783 O
0.709 0.709 0.184 O
0.787 0.213 0.000 O
0.810 0.190 0.500 O
```

Results
E_tot in eV/f.u.: -87.61
Calculated volume in Å³/cell: 150.1
Density in Mg/m³: 5.7
Raw formation energy in eV per atom: -1.767


# 12
A plane-wave DFT calculation with PBE-GGA was carried out for a relaxed structure of LiAlB3.

```
LiAlB3
1.0
3.660 0.000 0.000
0.000 3.660 0.000
0.000 0.000 3.660
Li Al B
1 1 3
Direct
0.000 0.000 0.000 Li
0.500 0.500 0.500 Al
0.000 0.000 0.500 B
0.000 0.500 0.000 B
0.500 0.000 0.000 B
```

Results
Calculated formation energy in meV per atom: 1718
E_tot in eV/f.u.: -17.10
Calculated volume in Å³/cell: 49.0
Polymorph energy (0 for the lowest one) in meV per atom: 163.9
Density in Mg/m³: 2.2


# 13
A plane-wave DFT calculation with PBE-GGA was carried out for a relaxed structure of Li4Tb3YTe8.

```
Li4Tb3YTe8
1.0
4.353 2.513 7.068
-4.353 2.513 7.068
0.000 -5.027 7.068
Li Tb Y Te
4 3 1 8
Direct
0.000 0.000 0.000 Li
0.000 0.500 0.500 Li
0.500 0.000 0.500 Li
0.500 0.500 0.000 Li
0.000 0.000 0.500 Tb
0.000 0.500 0.000 Tb
0.500 0.000 0.000 Tb
0.500 0.500 0.500 Y
0.248 0.248 0.747 Te
0.248 0.747 0.248 Te
0.252 0.252 0.252 Te
0.253 0.752 0.752 Te
0.747 0.248 0.248 Te
0.748 0.748 0.748 Te
0.752 0.253 0.752 Te
0.752 0.752 0.253 Te
```

Results
E_tot in eV/f.u.: -73.92
Calculated volume in Å³/cell: 464.0
Density in Mg/m³: 5.8
Raw formation energy in eV per atom: -1.299


# 14
A plane-wave DFT calculation with PBE-GGA was carried out for a relaxed structure of TlCrFe2N.

```
TlCrFe2N
1.0
4.709 0.000 0.000
0.000 4.709 0.000
0.000 0.000 3.596
Tl Cr Fe N
1 1 2 1
Direct
0.000 0.000 0.000 Tl
0.500 0.500 0.500 Cr
0.000 0.500 0.500 Fe
0.500 0.000 0.500 Fe
0.500 0.500 0.000 N
```

Results
E_tot in eV/f.u.: -32.82
Calculated volume in Å³/cell: 79.7
Polymorph energy (0 for the lowest one) in meV per atom: 766.3
Density in Mg/m³: 8.0
Raw formation energy in eV per atom: 0.883


# 15
A plane-wave DFT calculation with PBE-GGA was carried out for a relaxed structure of KAc2NpO8.

```
KAc2NpO8
1.0
4.297 0.000 0.000
0.000 8.737 0.000
-0.720 0.000 5.506
K Ac Np O
1 2 1 8
Direct
0.000 0.000 0.000 K
0.500 0.278 0.500 Ac
0.500 0.722 0.500 Ac
0.000 0.500 0.000 Np
0.052 0.318 0.770 O
0.052 0.682 0.770 O
0.424 0.500 0.217 O
0.483 0.000 0.635 O
0.517 0.000 0.365 O
0.576 0.500 0.783 O
0.948 0.318 0.230 O
0.948 0.682 0.230 O
```

Results
E_tot in eV/f.u.: -93.29
Calculated volume in Å³/cell: 206.7
Density in Mg/m³: 6.9
Raw formation energy in eV per atom: -2.614


# 16
A plane-wave DFT calculation with PBE-GGA was carried out for a relaxed structure of Sm2HoZn2Ga2.

```
Sm2HoZn2Ga2
1.0
2.223 1.283 9.392
-2.223 1.283 9.392
0.000 -2.567 9.392
Sm Ho Zn Ga
2 1 2 2
Direct
0.125 0.125 0.125 Sm
0.875 0.875 0.875 Sm
0.000 0.000 0.000 Ho
0.393 0.393 0.393 Zn
0.607 0.607 0.607 Zn
0.268 0.268 0.268 Ga
0.732 0.732 0.732 Ga
```

Results
Calculated formation energy in meV per atom: -404
E_tot in eV/f.u.: -25.44
Calculated volume in Å³/cell: 160.8
Density in Mg/m³: 7.6


# 17
A plane-wave DFT calculation with PBE-GGA was carried out for a relaxed structure of NaCrAsSe2.

```
NaCrAsSe2
1.0
4.997 0.000 0.000
0.000 4.997 0.000
0.000 0.000 4.845
Na Cr As Se
1 1 1 2
Direct
0.000 0.000 0.000 Na
0.500 0.500 0.500 Cr
0.000 0.000 0.500 As
0.000 0.500 0.000 Se
0.500 0.000 0.000 Se
```

Results
E_tot in eV/f.u.: -15.26
Calculated volume in Å³/cell: 121.0
Polymorph energy (0 for the lowest one) in meV per atom: 1516.2
Density in Mg/m³: 4.2
Raw formation energy in eV per atom: 1.460